NaPd4Au8 | PBE-GGA | optimized geometry

Geometry as extended XYZ:
```
13
Lattice="2.856 1.649 9.040 -2.856 1.649 9.040 0.000 -3.298 9.040" Properties=species:S:1:pos:R:3 pbc="T T T"
Na 0.000 0.000 0.000
Pd -1.428 -0.824 9.040
Pd -1.428 0.824 18.080
Pd 0.000 1.649 9.040
Pd 0.000 0.000 13.560
Au -1.446 -0.835 15.692
Au 0.000 0.000 6.671
Au 0.000 -1.670 11.428
Au -1.446 0.835 11.428
Au 1.446 -0.835 15.692
Au 0.000 1.670 15.692
Au 0.000 0.000 20.449
Au 1.446 0.835 11.428
```

Results
raw total energy: -3.637 eV per atom
size of the total moment: 0.0 μB/cell
E_form: 79 meV per atom